{
  "formula": "Gd2TeBr",
  "functional": "GGA-PBE",
  "state": "optimized geometry",
  "raw_formation_energy_mev_per_atom": -1174,
  "n_ef_per_ev_fu": 4.19,
  "energy_ev_per_atom": -9.418,
  "relative_energy_ev_per_atom": 0.000,
  "lattice": [[-2.747, 0.082, 3.407], [-2.185, -3.619, 1.137], [3.412, -2.937, 5.633]],
  "species": ["Gd", "Br", "Te", "Gd"],
  "fractional_positions": [[0.755, 0.755, 0.734], [0.500, 0.500, 0.500], [0.000, 0.000, 0.000], [0.245, 0.245, 0.266]]
}